Entry 1:
DFT (GGA-PBE) results for a relaxed structure of MgIn2Bi2.

Properties
total magnetization: 0.0 μB/f.u.
N(E_F): 2.47 states/eV/cell
volume: 30.491 Å³/atom
crystal system: tetragonal
relative energy among the computed polymorphs: 93 meV/atom
calculated formation energy: 0.08 eV per atom

Unit cell a=4.208 b=4.208 c=9.111 alpha=76.65 beta=76.65 gamma=90.00
Element x y z (fractional)
Mg (0.000, 0.000, 0.000)
Bi (0.411, 0.411, 0.178)
Bi (0.589, 0.589, 0.822)
In (0.750, 0.250, 0.500)
In (0.250, 0.750, 0.500)

Entry 2:
DFT (GGA-PBE) results for a relaxed structure of Mg12In3Bi.

Properties
total magnetization: 0.0 μB/f.u.
N(E_F): 4.98 states/eV/cell
volume: 23.128 Å³/atom
crystal system: tetragonal
calculated formation energy: -0.09 eV per atom

Unit cell a=4.481 b=4.481 c=18.426 alpha=90.00 beta=90.00 gamma=90.00
Element x y z (fractional)
Mg (0.500, 0.500, 0.000)
Mg (0.500, 0.500, 0.255)
Mg (0.500, 0.500, 0.500)
Mg (0.500, 0.500, 0.745)
Mg (0.500, 0.000, 0.133)
Mg (0.500, 0.000, 0.377)
Mg (0.500, 0.000, 0.623)
Mg (0.500, 0.000, 0.867)
Mg (0.000, 0.500, 0.133)
Mg (0.000, 0.500, 0.377)
Mg (0.000, 0.500, 0.623)
Mg (0.000, 0.500, 0.867)
In (0.000, 0.000, 0.254)
In (0.000, 0.000, 0.500)
In (0.000, 0.000, 0.746)
Bi (0.000, 0.000, 0.000)

Entry 3:
DFT (GGA-PBE) results for a relaxed structure of Mg14InBi.

Properties
total magnetization: 0.0 μB/f.u.
N(E_F): 8.32 states/eV/cell
volume: 23.497 Å³/atom
crystal system: tetragonal
calculated formation energy: -0.04 eV per atom

Unit cell a=6.423 b=6.423 c=9.114 alpha=90.00 beta=90.00 gamma=90.00
Element x y z (fractional)
Mg (0.875, 0.875, 0.000)
Mg (0.375, 0.375, 0.000)
Mg (0.875, 0.375, 0.500)
Mg (0.875, 0.375, 0.000)
Mg (0.375, 0.875, 0.500)
Mg (0.375, 0.875, 0.000)
Mg (0.628, 0.122, 0.244)
Mg (0.628, 0.122, 0.756)
Mg (0.122, 0.628, 0.244)
Mg (0.122, 0.628, 0.756)
Mg (0.628, 0.628, 0.244)
Mg (0.628, 0.628, 0.756)
Mg (0.122, 0.122, 0.244)
Mg (0.122, 0.122, 0.756)
In (0.875, 0.875, 0.500)
Bi (0.375, 0.375, 0.500)

Entry 4:
DFT (GGA-PBE) results for a relaxed structure of Mg7InBi6.

Properties
total magnetization: 0.0 μB/f.u.
N(E_F): 5.77 states/eV/cell
volume: 31.336 Å³/atom
crystal system: trigonal
calculated formation energy: -0.09 eV per atom

Unit cell a=8.224 b=8.224 c=8.868 alpha=62.37 beta=62.37 gamma=60.00
Element x y z (fractional)
Mg (0.887, 0.191, 0.381)
Mg (0.456, 0.130, 0.633)
Mg (0.781, 0.456, 0.633)
Mg (0.669, 0.669, 0.992)
Mg (0.191, 0.541, 0.381)
Mg (0.541, 0.887, 0.381)
Mg (0.130, 0.781, 0.633)
In (0.994, 0.994, 0.018)
Bi (0.747, 0.065, 0.785)
Bi (0.591, 0.273, 0.228)
Bi (0.908, 0.591, 0.228)
Bi (0.065, 0.403, 0.785)
Bi (0.403, 0.747, 0.785)
Bi (0.273, 0.908, 0.228)

> The highest volume belongs to which entry?

Mg7InBi6

> Among the records above, which one has the lowest N(E_F)?

MgIn2Bi2